[1]
# Sr2CdHIr (PBE, optimized geometry)
data_Sr2CdHIr
_chemical_formula_sum 'Sr2 Cd1 H1 Ir1'
_symmetry_space_group_name_H-M 'P 4/m m m'
_symmetry_Int_Tables_number 123
_symmetry_space_group_name_Hall '-P 4 2'
_cell_length_a 5.473
_cell_length_b 5.473
_cell_length_c 3.742
_cell_angle_alpha 90.00
_cell_angle_beta 90.00
_cell_angle_gamma 90.00
loop_
_atom_site_label
_atom_site_fract_x
_atom_site_fract_y
_atom_site_fract_z
Sr1 0.000 0.500 0.000
Cd1 0.000 0.000 0.500
H1 0.500 0.500 0.000
Ir1 0.500 0.500 0.500
# Density = 7.124 Mg/m³

[2]
# RbTaW3 (PBE, optimized geometry)
data_RbTaW3
_chemical_formula_sum 'Rb1 Ta1 W3'
_symmetry_space_group_name_H-M 'P m -3 m'
_symmetry_Int_Tables_number 221
_symmetry_space_group_name_Hall '-P 4 2 3'
_cell_length_a 4.981
_cell_length_b 4.981
_cell_length_c 4.981
_cell_angle_alpha 90.00
_cell_angle_beta 90.00
_cell_angle_gamma 90.00
loop_
_atom_site_label
_atom_site_fract_x
_atom_site_fract_y
_atom_site_fract_z
Rb1 0.000 0.000 0.000
Ta1 0.500 0.500 0.500
W1 0.000 0.500 0.500
# Density = 10.991 Mg/m³
# Energy above the lowest structure with this stoichiometry = 0 meV/atom
# Energy relative to the elements = 2.46 eV/atom

[3]
# Nd3Dy2Sc (PBE, optimized geometry)
data_Nd3Dy2Sc
_chemical_formula_sum 'Nd12 Dy8 Sc4'
_symmetry_space_group_name_H-M 'C m c 21'
_symmetry_Int_Tables_number 36
_cell_length_a 9.402
_cell_length_b 13.047
_cell_length_c 6.430
_cell_angle_alpha 90.00
_cell_angle_beta 90.00
_cell_angle_gamma 90.00
loop_
_symmetry_equiv_pos_as_xyz
'x,y,z'
'-x,-y,z+1/2'
'-x,y,z'
'x,-y,z+1/2'
'x+1/2,y+1/2,z'
'-x+1/2,-y+1/2,z+1/2'
'-x+1/2,y+1/2,z'
'x+1/2,-y+1/2,z+1/2'
loop_
_atom_site_label
_atom_site_fract_x
_atom_site_fract_y
_atom_site_fract_z
Nd1 0.000 0.080 0.000
Nd2 0.179 0.426 0.248
Dy1 0.184 0.315 0.767
Sc1 0.000 0.182 0.467
# Density = 6.760 Mg/m³
# Energy above the lowest structure with this stoichiometry = 179 meV/atom
# Energy relative to the elements = 0.22 eV/atom

[4]
# Tm2Co3Mo (PBE, optimized geometry)
data_Tm2Co3Mo
_chemical_formula_sum 'Tm4 Co6 Mo2'
_symmetry_space_group_name_H-M 'P 63/m m c'
_symmetry_Int_Tables_number 194
_symmetry_space_group_name_Hall '-P 6c 2c'
_cell_length_a 5.2823
_cell_length_b 5.2823
_cell_length_c 7.8676
_cell_angle_alpha 90.00
_cell_angle_beta 90.00
_cell_angle_gamma 120.00
loop_
_atom_site_label
_atom_site_fract_x
_atom_site_fract_y
_atom_site_fract_z
Tm1 0.3333 0.6667 0.0605
Co1 0.1700 0.3400 0.7500
Mo1 0.0000 0.0000 0.0000
# Density = 10.666 Mg/m³
# Energy relative to the elements = -0.18 eV/atom

[5]
# CuTeF6 (PBE, optimized geometry)
data_CuTeF6
_chemical_formula_sum 'Cu3 Te3 F18'
_symmetry_space_group_name_H-M 'R -3'
_symmetry_Int_Tables_number 148
_symmetry_space_group_name_Hall '-R 3'
_cell_length_a 5.5361
_cell_length_b 5.5361
_cell_length_c 14.4712
_cell_angle_alpha 90.00
_cell_angle_beta 90.00
_cell_angle_gamma 120.00
loop_
_atom_site_label
_atom_site_fract_x
_atom_site_fract_y
_atom_site_fract_z
Cu1 0.0000 0.0000 0.0000
Te1 0.0000 0.0000 0.5000
F1 0.0007 0.4167 0.7505
# Formation energy from raw total energies = -1.86 eV per atom
# Density = 3.957 Mg/m³
# Energy above the lowest structure with this stoichiometry = 0 meV/atom

[6]
# MgTa2Mn (PBE, optimized geometry)
data_MgTa2Mn
_chemical_formula_sum 'Mg2 Ta4 Mn2'
_symmetry_space_group_name_H-M 'I m m 2'
_symmetry_Int_Tables_number 44
_cell_length_a 3.138
_cell_length_b 4.557
_cell_length_c 9.239
_cell_angle_alpha 90.00
_cell_angle_beta 90.00
_cell_angle_gamma 90.00
loop_
_symmetry_equiv_pos_as_xyz
'x,y,z'
'-x,-y,z'
'-x,y,z'
'x,-y,z'
'x+1/2,y+1/2,z+1/2'
'-x+1/2,-y+1/2,z+1/2'
'-x+1/2,y+1/2,z+1/2'
'x+1/2,-y+1/2,z+1/2'
loop_
_atom_site_label
_atom_site_fract_x
_atom_site_fract_y
_atom_site_fract_z
Mg1 0.000 0.000 0.000
Ta1 0.000 0.000 0.440
Ta2 0.000 0.500 0.219
Mn1 0.000 0.500 0.736
# Density = 11.088 Mg/m³
# Energy relative to the elements = 0.21 eV/atom

[7]
# PmBF5 (PBE, optimized geometry)
data_PmBF5
_chemical_formula_sum 'Pm4 B4 F20'
_symmetry_space_group_name_H-M 'C 1 2/c 1'
_symmetry_Int_Tables_number 15
_cell_length_a 8.716
_cell_length_b 6.594
_cell_length_c 7.541
_cell_angle_alpha 90.00
_cell_angle_beta 115.25
_cell_angle_gamma 90.00
loop_
_symmetry_equiv_pos_as_xyz
'x,y,z'
'-x,-y,-z'
'-x,y,-z+1/2'
'x,-y,z+1/2'
'x+1/2,y+1/2,z'
'-x+1/2,-y+1/2,-z'
'-x+1/2,y+1/2,-z+1/2'
'x+1/2,-y+1/2,z+1/2'
loop_
_atom_site_label
_atom_site_fract_x
_atom_site_fract_y
_atom_site_fract_z
Pm1 0.000 0.071 0.250
B1 0.000 0.500 0.000
F1 0.000 0.434 0.250
F2 0.036 0.185 0.974
F3 0.208 0.457 0.610
# Formation energy from raw total energies = -2.56 eV per atom
# Density = 4.250 Mg/m³

[8]
# SrLaRe2 (PBE, optimized geometry)
data_SrLaRe2
_chemical_formula_sum 'Sr4 La4 Re8'
_symmetry_space_group_name_H-M 'I -4 2 d'
_symmetry_Int_Tables_number 122
_symmetry_space_group_name_Hall 'I -4 2bw'
_cell_length_a 8.274
_cell_length_b 8.274
_cell_length_c 5.582
_cell_angle_alpha 90.00
_cell_angle_beta 90.00
_cell_angle_gamma 90.00
loop_
_atom_site_label
_atom_site_fract_x
_atom_site_fract_y
_atom_site_fract_z
Sr1 0.000 0.000 0.000
La1 0.000 0.000 0.500
Re1 0.241 0.250 0.625
# Density = 10.411 Mg/m³
# Energy above the lowest structure with this stoichiometry = 1220 meV/atom
# Energy relative to the elements = 1.44 eV/atom

[9]
# Al2P2Pt (PBE, optimized geometry)
data_Al2P2Pt
_chemical_formula_sum 'Al4 P4 Pt2'
_symmetry_space_group_name_H-M 'P 4/m b m'
_symmetry_Int_Tables_number 127
_symmetry_space_group_name_Hall '-P 4 2ab'
_cell_length_a 6.706
_cell_length_b 6.706
_cell_length_c 3.496
_cell_angle_alpha 90.00
_cell_angle_beta 90.00
_cell_angle_gamma 90.00
loop_
_atom_site_label
_atom_site_fract_x
_atom_site_fract_y
_atom_site_fract_z
Al1 0.137 0.363 0.000
P1 0.181 0.681 0.500
Pt1 0.000 0.000 0.000
# Density = 6.569 Mg/m³
# Energy above the lowest structure with this stoichiometry = 200 meV/atom
# Energy relative to the elements = 0.01 eV/atom

[10]
# NaTi3F (PBE, optimized geometry)
data_NaTi3F
_chemical_formula_sum 'Na1 Ti3 F1'
_symmetry_space_group_name_H-M 'P m -3 m'
_symmetry_Int_Tables_number 221
_symmetry_space_group_name_Hall '-P 4 2 3'
_cell_length_a 4.976
_cell_length_b 4.976
_cell_length_c 4.976
_cell_angle_alpha 90.00
_cell_angle_beta 90.00
_cell_angle_gamma 90.00
loop_
_atom_site_label
_atom_site_fract_x
_atom_site_fract_y
_atom_site_fract_z
Na1 0.000 0.000 0.000
Ti1 0.000 0.000 0.500
F1 0.500 0.500 0.500
# Formation energy from raw total energies = 1.56 eV per atom
# Density = 2.502 Mg/m³
# Energy above the lowest structure with this stoichiometry = 1602 meV/atom

[11]
# RbPdI (PBE, optimized geometry)
data_RbPdI
_chemical_formula_sum 'Rb2 Pd2 I2'
_symmetry_space_group_name_H-M 'P 1'
_symmetry_Int_Tables_number 1
_cell_length_a 4.971
_cell_length_b 6.485
_cell_length_c 7.176
_cell_angle_alpha 94.55
_cell_angle_beta 98.19
_cell_angle_gamma 101.14
loop_
_symmetry_equiv_pos_as_xyz
'x,y,z'
loop_
_atom_site_label
_atom_site_fract_x
_atom_site_fract_y
_atom_site_fract_z
Rb1 0.000 0.000 0.000
Rb2 0.258 0.599 0.439
Pd1 0.439 0.172 0.617
Pd2 0.634 0.263 0.264
I1 0.551 0.455 0.961
I2 0.881 0.045 0.504
# Formation energy from raw total energies = -0.58 eV per atom
# Density = 4.741 Mg/m³
# Energy above the lowest structure with this stoichiometry = 88 meV/atom

[12]
# CaCeCd2Hg4 (PBE, optimized geometry)
data_CaCeCd2Hg4
_chemical_formula_sum 'Ca3 Ce3 Cd6 Hg12'
_symmetry_space_group_name_H-M 'R -3 m'
_symmetry_Int_Tables_number 166
_symmetry_space_group_name_Hall '-R 3 2"'
_cell_length_a 5.1444
_cell_length_b 5.1444
_cell_length_c 25.7351
_cell_angle_alpha 90.00
_cell_angle_beta 90.00
_cell_angle_gamma 120.00
loop_
_atom_site_label
_atom_site_fract_x
_atom_site_fract_y
_atom_site_fract_z
Ca1 0.0000 0.0000 0.0000
Ce1 0.0000 0.0000 0.5000
Cd1 0.0000 0.0000 0.2486
Hg1 0.0000 0.0000 0.1222
Hg2 0.0000 0.0000 0.3742
# Density = 10.197 Mg/m³
# Energy relative to the elements = -0.36 eV/atom

Computed values of electronic total energy (unit: eV/atom) for the preceding records, in sequence: -3.5287; -7.8718; -4.7564; -7.0335; -4.1670; -8.4055; -5.5256; -6.4318; -4.8596; -3.8177; -3.1542; -1.7267.